1.
Entry from OQMD: a relaxed structure of TaBe2Ir (GGA-PBE).

Computed properties:
The value obtained for the volume is 12.98 Å³/atom. The electronic total energy is -7.36 eV per atom.

```
TaBe2Ir
1.0
0.000 2.961 2.961
2.961 0.000 2.961
2.961 2.961 0.000
Ta Be Ir
1 2 1
Direct
0.000 0.000 0.000
0.500 0.500 0.500
0.750 0.750 0.750
0.250 0.250 0.250
```



2.
Entry from OQMD: a relaxed structure of PrTmPb (GGA-PBE).

Computed properties:
The value obtained for the volume is 33.98 Å³/atom. The electronic total energy is -4.51 eV per atom.

```
PrTmPb
1.0
0.000 3.708 3.708
3.708 0.000 3.708
3.708 3.708 0.000
Pr Tm Pb
1 1 1
Direct
0.000 0.000 0.000
0.500 0.500 0.500
0.250 0.250 0.250
```



3.
Entry from OQMD: a relaxed structure of Li4PmRe3 (GGA-PBE).

Computed properties:
The value obtained for the volume is 14.40 Å³/atom. The electronic total energy is -4.81 eV per atom.

```
Li4PmRe3
1.0
4.866 0.000 0.000
0.000 4.866 0.000
0.000 0.000 4.866
Li Pm Re
4 1 3
Direct
0.000 0.000 0.000
0.000 0.500 0.500
0.500 0.000 0.500
0.500 0.500 0.000
0.500 0.500 0.500
0.000 0.000 0.500
0.000 0.500 0.000
0.500 0.000 0.000
```



4.
Entry from OQMD: a relaxed structure of RbPrMgS3 (GGA-PBE).

Computed properties:
The value obtained for the volume is 29.24 Å³/atom. The electronic total energy is -4.92 eV per atom.

```
RbPrMgS3
1.0
11.272 0.000 0.000
0.000 4.225 0.000
0.000 0.000 14.731
Rb Pr Mg S
4 4 4 12
Direct
0.217 0.250 0.008
0.283 0.750 0.508
0.717 0.250 0.492
0.783 0.750 0.992
0.015 0.750 0.263
0.485 0.250 0.763
0.515 0.750 0.237
0.985 0.250 0.737
0.233 0.750 0.785
0.267 0.250 0.285
0.733 0.750 0.715
0.767 0.250 0.215
0.044 0.750 0.862
0.093 0.250 0.379
0.238 0.250 0.693
0.262 0.750 0.193
0.407 0.750 0.879
0.456 0.250 0.362
0.544 0.750 0.638
0.593 0.250 0.121
0.738 0.250 0.807
0.762 0.750 0.307
0.907 0.750 0.621
0.956 0.250 0.138
```



5.
Entry from OQMD: a relaxed structure of DyY2Er (GGA-PBE).

Computed properties:
The value obtained for the volume is 31.95 Å³/atom. As for the formation energy: 4 meV/atom.

```
DyY2Er
1.0
3.622 -6.277 0.000
3.622 6.277 0.000
0.000 0.000 5.622
Dy Y Er
2 4 2
Direct
0.167 0.833 0.750
0.833 0.167 0.250
0.167 0.334 0.750
0.334 0.167 0.250
0.666 0.833 0.750
0.833 0.666 0.250
0.333 0.667 0.250
0.667 0.333 0.750
```



6.
Entry from OQMD: a relaxed structure of Lu2GeO5 (GGA-PBE).

Computed properties:
The value obtained for the relative energy among the computed polymorphs is 0.004 eV per atom. The value obtained for the volume is 12.50 Å³/atom.

```
Lu2GeO5
1.0
9.102 0.000 0.000
0.000 6.802 0.000
-1.204 0.000 6.461
Lu Ge O
8 4 20
Direct
0.030 0.123 0.228
0.030 0.377 0.728
0.351 0.142 0.999
0.351 0.358 0.499
0.649 0.642 0.501
0.649 0.858 0.001
0.970 0.623 0.272
0.970 0.877 0.772
0.301 0.601 0.002
0.301 0.899 0.502
0.699 0.101 0.498
0.699 0.399 0.998
0.105 0.646 0.985
0.105 0.854 0.485
0.106 0.117 0.916
0.106 0.383 0.416
0.279 0.072 0.291
0.279 0.428 0.791
0.375 0.077 0.683
0.375 0.423 0.183
0.401 0.684 0.489
0.401 0.816 0.989
0.599 0.184 0.011
0.599 0.316 0.511
0.625 0.577 0.817
0.625 0.923 0.317
0.721 0.572 0.209
0.721 0.928 0.709
0.894 0.617 0.584
0.894 0.883 0.084
0.895 0.146 0.515
0.895 0.354 0.015
```



7.
Entry from OQMD: a relaxed structure of BPt4 (GGA-PBE).

Computed properties:
The value obtained for the volume is 14.21 Å³/atom. The electronic total energy is -6.29 eV per atom.

```
BPt4
1.0
3.842 0.000 0.000
0.000 3.842 0.000
0.000 0.000 9.627
B Pt
2 8
Direct
0.250 0.250 0.144
0.750 0.750 0.856
0.250 0.250 0.496
0.250 0.750 0.000
0.250 0.750 0.278
0.250 0.750 0.722
0.750 0.250 0.000
0.750 0.250 0.278
0.750 0.250 0.722
0.750 0.750 0.504
```



8.
Entry from OQMD: a relaxed structure of TmLuZn (GGA-PBE).

Computed properties:
The value obtained for the relative energy among the computed polymorphs is 0.000 eV per atom. The value obtained for the volume is 26.81 Å³/atom. As for the formation energy: 7 meV/atom.

```
TmLuZn
1.0
0.000 3.426 3.426
3.426 0.000 3.426
3.426 3.426 0.000
Tm Lu Zn
1 1 1
Direct
0.000 0.000 0.000
0.500 0.500 0.500
0.750 0.750 0.750
```